Entry 1:
The following is a DFT calculation (PBE) of a geometry-optimized NaIrOs structure.

Summary:
- magnetization (Bohr magnetons per cell) = 0.00
- formation energy from the elements (kJ/mol of formula units) = 114
- energy above the lowest structure with this stoichiometry (eV/f.u.) = 0.07

```
data_NaIrOs
_cell_length_a 5.278
_cell_length_b 4.019
_cell_length_c 6.024
_cell_angle_alpha 90.00
_cell_angle_beta 102.52
_cell_angle_gamma 90.00
_space_group_name_H-M_alt 'P 1 m 1'
_space_group_IT_number 6
_space_group_name_Hall 'P -2y'
loop_
_atom_site_label
_atom_site_type_symbol
_atom_site_fract_x
_atom_site_fract_y
_atom_site_fract_z
Na1 Na 0.000 0.000 0.000
Na2 Na 0.480 0.500 0.894
Ir1 Ir 0.134 0.000 0.523
Ir2 Ir 0.633 0.000 0.520
Os1 Os 0.348 0.500 0.378
Os2 Os 0.849 0.500 0.383
```

=====

Entry 2:
The following is a DFT calculation (PBE) of a geometry-optimized NaIrOs structure.

Summary:
- magnetization (Bohr magnetons per cell) = 0.00
- formation energy from the elements (kJ/mol of formula units) = 139
- energy above the lowest structure with this stoichiometry (eV/f.u.) = 0.33

```
data_NaIrOs
_cell_length_a 5.032
_cell_length_b 4.458
_cell_length_c 10.894
_cell_angle_alpha 90.00
_cell_angle_beta 90.00
_cell_angle_gamma 90.00
_space_group_name_H-M_alt 'P n m a'
_space_group_IT_number 62
_space_group_name_Hall '-P 2ac 2n'
loop_
_atom_site_label
_atom_site_type_symbol
_atom_site_fract_x
_atom_site_fract_y
_atom_site_fract_z
Na1 Na 0.243 0.250 0.011
Ir1 Ir 0.217 0.250 0.281
Os1 Os 0.068 0.250 0.732
```

=====

Entry 3:
The following is a DFT calculation (PBE) of a geometry-optimized NaIrOs structure.

Summary:
- magnetization (Bohr magnetons per cell) = 0.00
- formation energy from the elements (kJ/mol of formula units) = 135
- energy above the lowest structure with this stoichiometry (eV/f.u.) = 0.28

```
data_NaIrOs
_cell_length_a 4.620
_cell_length_b 4.656
_cell_length_c 5.534
_cell_angle_alpha 68.06
_cell_angle_beta 68.00
_cell_angle_gamma 77.41
_space_group_name_H-M_alt 'P 1'
_space_group_IT_number 1
_space_group_name_Hall 'P 1'
loop_
_atom_site_label
_atom_site_type_symbol
_atom_site_fract_x
_atom_site_fract_y
_atom_site_fract_z
Na1 Na 0.000 0.000 0.000
Na2 Na 0.373 0.347 0.839
Ir1 Ir 0.804 0.800 0.655
Ir2 Ir 0.970 0.388 0.412
Os1 Os 0.397 0.950 0.423
Os2 Os 0.547 0.554 0.199
```

=====

Entry 4:
The following is a DFT calculation (PBE) of a geometry-optimized NaIrOs structure.

Summary:
- magnetization (Bohr magnetons per cell) = 0.00
- formation energy from the elements (kJ/mol of formula units) = 214
- energy above the lowest structure with this stoichiometry (eV/f.u.) = 1.10

```
data_NaIrOs
_cell_length_a 4.5523
_cell_length_b 4.5523
_cell_length_c 2.6578
_cell_angle_alpha 90.00
_cell_angle_beta 90.00
_cell_angle_gamma 120.00
_space_group_name_H-M_alt 'P -6 m 2'
_space_group_IT_number 187
_space_group_name_Hall 'P -6 2'
loop_
_atom_site_label
_atom_site_type_symbol
_atom_site_fract_x
_atom_site_fract_y
_atom_site_fract_z
Na1 Na 0.0000 0.0000 0.0000
Ir1 Ir 0.6667 0.3333 0.5000
Os1 Os 0.3333 0.6667 0.5000
```

=====

Entry 5:
The following is a DFT calculation (PBE) of a geometry-optimized NaIrOs structure.

Summary:
- magnetization (Bohr magnetons per cell) = 0.00
- formation energy from the elements (kJ/mol of formula units) = 108
- energy above the lowest structure with this stoichiometry (eV/f.u.) = 0.00

```
data_NaIrOs
_cell_length_a 4.180
_cell_length_b 6.976
_cell_length_c 7.522
_cell_angle_alpha 90.00
_cell_angle_beta 90.00
_cell_angle_gamma 90.00
_space_group_name_H-M_alt 'I m a 2'
_space_group_IT_number 46
_space_group_name_Hall 'I 2 -2a'
loop_
_atom_site_label
_atom_site_type_symbol
_atom_site_fract_x
_atom_site_fract_y
_atom_site_fract_z
Na1 Na 0.250 0.148 0.000
Ir1 Ir 0.250 0.602 0.835
Os1 Os 0.250 0.593 0.160
```

=====

Entry 6:
The following is a DFT calculation (PBE) of a geometry-optimized NaIrOs2 structure.

Summary:
- magnetization (Bohr magnetons per cell) = 0.00
- formation energy from the elements (kJ/mol of formula units) = 429
- energy above the lowest structure with this stoichiometry (eV/f.u.) = 0.43

```
data_NaIrOs2
_cell_length_a 7.579
_cell_length_b 7.579
_cell_length_c 5.015
_cell_angle_alpha 90.00
_cell_angle_beta 90.00
_cell_angle_gamma 90.00
_space_group_name_H-M_alt 'I -4 2 d'
_space_group_IT_number 122
_space_group_name_Hall 'I -4 2bw'
loop_
_atom_site_label
_atom_site_type_symbol
_atom_site_fract_x
_atom_site_fract_y
_atom_site_fract_z
Na1 Na 0.000 0.000 0.000
Ir1 Ir 0.000 0.000 0.500
Os1 Os 0.191 0.250 0.625
```

=====

Entry 7:
The following is a DFT calculation (PBE) of a geometry-optimized NaIr2Os structure.

Summary:
- magnetization (Bohr magnetons per cell) = 0.00
- formation energy from the elements (kJ/mol of formula units) = 337
- energy above the lowest structure with this stoichiometry (eV/f.u.) = 0.61

```
data_NaIr2Os
_cell_length_a 7.397
_cell_length_b 7.397
_cell_length_c 5.310
_cell_angle_alpha 90.00
_cell_angle_beta 90.00
_cell_angle_gamma 90.00
_space_group_name_H-M_alt 'I -4 2 d'
_space_group_IT_number 122
_space_group_name_Hall 'I -4 2bw'
loop_
_atom_site_label
_atom_site_type_symbol
_atom_site_fract_x
_atom_site_fract_y
_atom_site_fract_z
Na1 Na 0.000 0.000 0.000
Ir1 Ir 0.195 0.750 0.625
Os1 Os 0.000 0.000 0.500
```

=====

Entry 8:
The following is a DFT calculation (PBE) of a geometry-optimized NaIr2Os structure.

Summary:
- magnetization (Bohr magnetons per cell) = 7.47
- formation energy from the elements (kJ/mol of formula units) = 278
- energy above the lowest structure with this stoichiometry (eV/f.u.) = 0.00

```
data_NaIr2Os
_cell_length_a 6.237
_cell_length_b 6.237
_cell_length_c 6.237
_cell_angle_alpha 90.00
_cell_angle_beta 90.00
_cell_angle_gamma 90.00
_space_group_name_H-M_alt 'F m -3 m'
_space_group_IT_number 225
_space_group_name_Hall '-F 4 2 3'
loop_
_atom_site_label
_atom_site_type_symbol
_atom_site_fract_x
_atom_site_fract_y
_atom_site_fract_z
Na1 Na 0.000 0.000 0.000
Ir1 Ir 0.250 0.250 0.250
Os1 Os 0.000 0.000 0.500
```

=====

Entry 9:
The following is a DFT calculation (PBE) of a geometry-optimized NaIrOs structure.

Summary:
- magnetization (Bohr magnetons per cell) = 0.00
- formation energy from the elements (kJ/mol of formula units) = 250
- energy above the lowest structure with this stoichiometry (eV/f.u.) = 1.47

```
data_NaIrOs
_cell_length_a 4.1051
_cell_length_b 4.1051
_cell_length_c 9.5176
_cell_angle_alpha 90.00
_cell_angle_beta 90.00
_cell_angle_gamma 120.00
_space_group_name_H-M_alt 'P 63/m m c'
_space_group_IT_number 194
_space_group_name_Hall '-P 6c 2c'
loop_
_atom_site_label
_atom_site_type_symbol
_atom_site_fract_x
_atom_site_fract_y
_atom_site_fract_z
Na1 Na 0.0000 0.0000 0.0000
Ir1 Ir 0.3333 0.6667 0.2500
Os1 Os 0.3333 0.6667 0.7500
```

=====

Entry 10:
The following is a DFT calculation (PBE) of a geometry-optimized NaIrOs structure.

Summary:
- magnetization (Bohr magnetons per cell) = 0.00
- formation energy from the elements (kJ/mol of formula units) = 126
- energy above the lowest structure with this stoichiometry (eV/f.u.) = 0.18

```
data_NaIrOs
_cell_length_a 2.681
_cell_length_b 3.976
_cell_length_c 5.894
_cell_angle_alpha 109.46
_cell_angle_beta 102.98
_cell_angle_gamma 90.13
_space_group_name_H-M_alt 'P 1'
_space_group_IT_number 1
_space_group_name_Hall 'P 1'
loop_
_atom_site_label
_atom_site_type_symbol
_atom_site_fract_x
_atom_site_fract_y
_atom_site_fract_z
Na1 Na 0.000 0.000 0.000
Ir1 Ir 0.291 0.290 0.581
Os1 Os 0.714 0.713 0.425
```

=====

Entry 11:
The following is a DFT calculation (PBE) of a geometry-optimized NaIrOs structure.

Summary:
- magnetization (Bohr magnetons per cell) = 0.00
- formation energy from the elements (kJ/mol of formula units) = 123
- energy above the lowest structure with this stoichiometry (eV/f.u.) = 0.15

```
data_NaIrOs
_cell_length_a 3.938
_cell_length_b 5.397
_cell_length_c 5.882
_cell_angle_alpha 76.80
_cell_angle_beta 70.62
_cell_angle_gamma 90.00
_space_group_name_H-M_alt 'P -1'
_space_group_IT_number 2
_space_group_name_Hall '-P 1'
loop_
_atom_site_label
_atom_site_type_symbol
_atom_site_fract_x
_atom_site_fract_y
_atom_site_fract_z
Na1 Na 0.001 0.246 0.005
Ir1 Ir 0.291 0.893 0.417
Os1 Os 0.289 0.400 0.421
```

=====

Entry 12:
The following is a DFT calculation (PBE) of a geometry-optimized NaIrOs2 structure.

Summary:
- magnetization (Bohr magnetons per cell) = 4.88
- formation energy from the elements (kJ/mol of formula units) = 388
- energy above the lowest structure with this stoichiometry (eV/f.u.) = 0.00

```
data_NaIrOs2
_cell_length_a 6.202
_cell_length_b 6.202
_cell_length_c 6.202
_cell_angle_alpha 90.00
_cell_angle_beta 90.00
_cell_angle_gamma 90.00
_space_group_name_H-M_alt 'F m -3 m'
_space_group_IT_number 225
_space_group_name_Hall '-F 4 2 3'
loop_
_atom_site_label
_atom_site_type_symbol
_atom_site_fract_x
_atom_site_fract_y
_atom_site_fract_z
Na1 Na 0.000 0.000 0.000
Ir1 Ir 0.000 0.000 0.500
Os1 Os 0.250 0.250 0.250
```

=====

Entry 13:
The following is a DFT calculation (PBE) of a geometry-optimized NaIrOs structure.

Summary:
- magnetization (Bohr magnetons per cell) = 0.00
- formation energy from the elements (kJ/mol of formula units) = 116
- energy above the lowest structure with this stoichiometry (eV/f.u.) = 0.09

```
data_NaIrOs
_cell_length_a 7.521
_cell_length_b 4.224
_cell_length_c 6.904
_cell_angle_alpha 90.00
_cell_angle_beta 90.00
_cell_angle_gamma 90.00
_space_group_name_H-M_alt 'P n m a'
_space_group_IT_number 62
_space_group_name_Hall '-P 2ac 2n'
loop_
_atom_site_label
_atom_site_type_symbol
_atom_site_fract_x
_atom_site_fract_y
_atom_site_fract_z
Na1 Na 0.002 0.250 0.148
Ir1 Ir 0.165 0.750 0.401
Os1 Os 0.159 0.250 0.593
```

=====

Entry 14:
The following is a DFT calculation (PBE) of a geometry-optimized NaIrOs structure.

Summary:
- magnetization (Bohr magnetons per cell) = 0.00
- formation energy from the elements (kJ/mol of formula units) = 145
- energy above the lowest structure with this stoichiometry (eV/f.u.) = 0.38

```
data_NaIrOs
_cell_length_a 2.766
_cell_length_b 2.766
_cell_length_c 13.577
_cell_angle_alpha 90.00
_cell_angle_beta 90.00
_cell_angle_gamma 90.00
_space_group_name_H-M_alt 'I 4 m m'
_space_group_IT_number 107
_space_group_name_Hall 'I 4 -2'
loop_
_atom_site_label
_atom_site_type_symbol
_atom_site_fract_x
_atom_site_fract_y
_atom_site_fract_z
Na1 Na 0.000 0.000 0.000
Ir1 Ir 0.000 0.000 0.316
Os1 Os 0.000 0.000 0.691
```

=====

Entry 15:
The following is a DFT calculation (PBE) of a geometry-optimized Na2Ir2Os structure.

Summary:
- magnetization (Bohr magnetons per cell) = 0.00
- formation energy from the elements (kJ/mol of formula units) = 232
- energy above the lowest structure with this stoichiometry (eV/f.u.) = 0.00

```
data_Na2Ir2Os
_cell_length_a 6.319
_cell_length_b 6.319
_cell_length_c 5.032
_cell_angle_alpha 90.00
_cell_angle_beta 90.00
_cell_angle_gamma 90.00
_space_group_name_H-M_alt 'P 4/m b m'
_space_group_IT_number 127
_space_group_name_Hall '-P 4 2ab'
loop_
_atom_site_label
_atom_site_type_symbol
_atom_site_fract_x
_atom_site_fract_y
_atom_site_fract_z
Na1 Na 0.179 0.321 0.000
Ir1 Ir 0.134 0.634 0.500
Os1 Os 0.000 0.000 0.500
```

=====

Entry 16:
The following is a DFT calculation (PBE) of a geometry-optimized Na2Ir2Os structure.

Summary:
- magnetization (Bohr magnetons per cell) = 0.00
- formation energy from the elements (kJ/mol of formula units) = 488
- energy above the lowest structure with this stoichiometry (eV/f.u.) = 2.66

```
data_Na2Ir2Os
_cell_length_a 3.175
_cell_length_b 3.175
_cell_length_c 15.895
_cell_angle_alpha 90.00
_cell_angle_beta 90.00
_cell_angle_gamma 90.00
_space_group_name_H-M_alt 'I 4/m m m'
_space_group_IT_number 139
_space_group_name_Hall '-I 4 2'
loop_
_atom_site_label
_atom_site_type_symbol
_atom_site_fract_x
_atom_site_fract_y
_atom_site_fract_z
Na1 Na 0.000 0.500 0.250
Ir1 Ir 0.000 0.000 0.093
Os1 Os 0.000 0.000 0.500
```

=====

Entry 17:
The following is a DFT calculation (PBE) of a geometry-optimized NaIr3Os structure.

Summary:
- magnetization (Bohr magnetons per cell) = 0.00
- formation energy from the elements (kJ/mol of formula units) = 1254
- energy above the lowest structure with this stoichiometry (eV/f.u.) = 5.99

```
data_NaIr3Os
_cell_length_a 4.353
_cell_length_b 4.353
_cell_length_c 4.353
_cell_angle_alpha 90.00
_cell_angle_beta 90.00
_cell_angle_gamma 90.00
_space_group_name_H-M_alt 'P m -3 m'
_space_group_IT_number 221
_space_group_name_Hall '-P 4 2 3'
loop_
_atom_site_label
_atom_site_type_symbol
_atom_site_fract_x
_atom_site_fract_y
_atom_site_fract_z
Na1 Na 0.000 0.000 0.000
Ir1 Ir 0.000 0.000 0.500
Os1 Os 0.500 0.500 0.500
```

=====

Entry 18:
The following is a DFT calculation (PBE) of a geometry-optimized NaIrOs structure.

Summary:
- magnetization (Bohr magnetons per cell) = 0.00
- formation energy from the elements (kJ/mol of formula units) = 250
- energy above the lowest structure with this stoichiometry (eV/f.u.) = 1.47

```
data_NaIrOs
_cell_length_a 4.1059
_cell_length_b 4.1059
_cell_length_c 4.7511
_cell_angle_alpha 90.00
_cell_angle_beta 90.00
_cell_angle_gamma 120.00
_space_group_name_H-M_alt 'P -6 m 2'
_space_group_IT_number 187
_space_group_name_Hall 'P -6 2'
loop_
_atom_site_label
_atom_site_type_symbol
_atom_site_fract_x
_atom_site_fract_y
_atom_site_fract_z
Na1 Na 0.0000 0.0000 0.0000
Ir1 Ir 0.6667 0.3333 0.5000
Os1 Os 0.3333 0.6667 0.5000
```

=====

Entry 19:
The following is a DFT calculation (PBE) of a geometry-optimized NaIrOs structure.

Summary:
- magnetization (Bohr magnetons per cell) = 0.00
- formation energy from the elements (kJ/mol of formula units) = 165
- energy above the lowest structure with this stoichiometry (eV/f.u.) = 0.59

```
data_NaIrOs
_cell_length_a 8.342
_cell_length_b 4.160
_cell_length_c 5.647
_cell_angle_alpha 90.00
_cell_angle_beta 100.18
_cell_angle_gamma 90.00
_space_group_name_H-M_alt 'C 1 m 1'
_space_group_IT_number 8
_space_group_name_Hall 'C -2y'
loop_
_atom_site_label
_atom_site_type_symbol
_atom_site_fract_x
_atom_site_fract_y
_atom_site_fract_z
Na1 Na 0.000 0.000 0.000
Na2 Na 0.157 0.500 0.942
Ir1 Ir 0.302 0.000 0.701
Ir2 Ir 0.487 0.500 0.494
Os1 Os 0.170 0.500 0.448
Os2 Os 0.356 0.000 0.263
```

=====

Entry 20:
The following is a DFT calculation (PBE) of a geometry-optimized NaIrOs structure.

Summary:
- magnetization (Bohr magnetons per cell) = 0.00
- formation energy from the elements (kJ/mol of formula units) = 113
- energy above the lowest structure with this stoichiometry (eV/f.u.) = 0.05

```
data_NaIrOs
_cell_length_a 5.258
_cell_length_b 4.035
_cell_length_c 6.037
_cell_angle_alpha 90.00
_cell_angle_beta 102.71
_cell_angle_gamma 90.00
_space_group_name_H-M_alt 'P 1 m 1'
_space_group_IT_number 6
_space_group_name_Hall 'P -2y'
loop_
_atom_site_label
_atom_site_type_symbol
_atom_site_fract_x
_atom_site_fract_y
_atom_site_fract_z
Na1 Na 0.000 0.000 0.000
Na2 Na 0.478 0.500 0.893
Ir1 Ir 0.340 0.500 0.372
Ir2 Ir 0.630 0.000 0.520
Os1 Os 0.124 0.000 0.518
Os2 Os 0.847 0.500 0.382
```